CeGa2Ni9 PBE optimized geometry; ΔE to the lowest computed polymorph = 177 meV/atom; calculated formation energy = -0.115 eV/atom
1.0
2.704 0.000 0.000
0.000 8.073 0.000
0.000 -4.037 6.992
Ce Ga Ni
1 2 9
Cartesian
0.000 0.000 0.000 Ce
0.000 4.037 2.331 Ga
0.000 0.000 4.661 Ga
1.352 5.853 1.282 Ni
0.000 -2.018 3.496 Ni
0.000 2.018 3.496 Ni
1.352 4.037 4.428 Ni
1.352 -1.816 5.710 Ni
1.352 1.816 5.710 Ni
1.352 0.000 2.564 Ni
0.000 4.037 0.000 Ni
1.352 2.220 1.282 Ni

***

Sm6DyIn2 PBE optimized geometry; ΔE to the lowest computed polymorph = 135 meV/atom; calculated formation energy = -0.062 eV/atom
1.0
3.443 0.002 0.002
1.728 9.419 2.512
1.728 2.922 9.300
Sm Dy In
6 1 2
Cartesian
3.449 10.305 5.789 Sm
3.451 2.038 6.025 Sm
3.451 6.108 1.772 Sm
3.450 5.106 7.020 Sm
3.450 7.237 4.794 Sm
3.449 6.235 10.042 Sm
3.443 0.002 0.002 Dy
1.734 4.282 4.098 In
5.166 8.061 7.715 In

***

RbLiAgO2 PBE optimized geometry; ΔE to the lowest computed polymorph = 198 meV/atom; E_form (uncorrected) = -0.72 eV/atom
1.0
3.381 0.000 0.000
0.000 6.201 0.000
0.000 0.000 5.880
Rb Li Ag O
1 1 1 2
Cartesian
1.690 1.980 2.940 Rb
0.000 5.623 2.940 Li
1.690 0.189 0.000 Ag
0.000 0.290 1.383 O
0.000 0.290 4.497 O

***

RbPrBeSe3 PBE optimized geometry; E_form (uncorrected) = -1.36 eV/atom
1.0
-3.811 -1.658 0.249
1.618 -2.318 9.342
-3.895 8.914 -0.255
Rb Pr Be Se
2 2 2 6
Cartesian
-1.536 1.192 1.831 Rb
-4.552 3.746 7.505 Rb
-0.472 -0.592 6.249 Pr
-5.616 5.530 3.087 Pr
-3.188 4.804 0.602 Be
-2.900 0.135 8.734 Be
-2.047 -1.873 8.426 Se
-4.041 6.811 0.910 Se
-1.444 1.873 7.785 Se
-4.644 3.065 1.551 Se
-2.765 -0.826 4.396 Se
-3.323 5.765 4.940 Se

***

La2BeAl2 PBE optimized geometry; calculated formation energy = -0.112 eV/atom
1.0
-2.256 4.376 4.694
-4.749 2.209 -4.341
-3.258 -3.559 1.753
Be Al La
2 4 4
Cartesian
0.000 0.000 0.000 Be
-3.502 3.293 0.176 Be
-4.889 3.468 -2.044 Al
-4.982 5.175 1.249 Al
-2.116 3.117 2.397 Al
-2.023 1.410 -0.896 Al
-5.194 0.444 -1.234 La
-7.082 2.986 0.418 La
-5.068 2.581 3.340 La
-3.181 0.040 1.687 La

***

InCo2As PBE optimized geometry; ΔE to the lowest computed polymorph = 121 meV/atom; calculated formation energy = 0.149 eV/atom
1.0
7.651 -0.005 -0.003
7.053 2.966 -0.003
7.053 1.420 2.604
As Co In
1 2 1
Cartesian
16.318 3.286 1.949 As
0.240 0.048 0.029 Co
10.639 2.143 1.270 Co
5.439 1.095 0.650 In

***

no.,density (Mg/m³),E (eV/atom)
1,8.79,-5.450
2,7.78,-4.328
3,3.13,-3.847
4,4.17,-4.686
5,4.76,-4.325
6,8.62,-5.251